Run w
Material: K2TcRh
Method: DFT, GGA-PBE
State: relaxed

**Volume**: 20.51 Å³/atom

Lattice parameters (Å, degrees): 2.8725 2.8725 34.4492 90.00 90.00 120.00
Space group R-3m (No. 166, hexagonal axes)
Symmetry-distinct sites (fractional):
K1 0.0000 0.0000 0.2462 [6 per cell]
Tc1 0.0000 0.0000 0.0000 [3 per cell]
Rh1 0.0000 0.0000 0.5000 [3 per cell]

***

Run x
Material: K2TcRh
Method: DFT, GGA-PBE
State: relaxed

**Volume**: 21.10 Å³/atom

Lattice parameters (Å, degrees): 2.742 2.742 11.224 90.00 90.00 90.00
Space group P4/mmm (No. 123)
Symmetry-distinct sites (fractional):
K1 0.000 0.000 0.241 [2 per cell]
Tc1 0.500 0.500 0.500 [1 per cell]
Rh1 0.500 0.500 0.000 [1 per cell]

***

Of them, run x has the highest stability.

***

Run w
Material: KTcRh
Method: DFT, GGA-PBE
State: relaxed

**Volume**: 22.15 Å³/atom

Lattice parameters (Å, degrees): 2.749 3.888 12.436 90.00 90.00 90.00
Space group Imm2 (No. 44)
Symmetry-distinct sites (fractional):
K1 0.000 0.000 0.000 [2 per cell]
Tc1 0.000 0.000 0.283 [2 per cell]
Rh1 0.000 0.000 0.709 [2 per cell]

***

Run x
Material: KTcRh
Method: DFT, GGA-PBE
State: relaxed

**Volume**: 21.41 Å³/atom

Lattice parameters (Å, degrees): 6.357 6.357 6.357 90.00 90.00 90.00
Space group F-43m (No. 216)
Symmetry-distinct sites (fractional):
K1 0.000 0.000 0.000 [4 per cell]
Tc1 0.000 0.000 0.500 [4 per cell]
Rh1 0.250 0.250 0.250 [4 per cell]

***

Of them, run w has the highest stability.

***

Run w
Material: KTcRh
Method: DFT, GGA-PBE
State: relaxed

**Volume**: 18.68 Å³/atom

Lattice parameters (Å, degrees): 2.8584 2.8584 7.9193 90.00 90.00 120.00
Space group P3m1 (No. 156)
Symmetry-distinct sites (fractional):
K1 0.0000 0.0000 0.0000 [1 per cell]
Tc1 0.3333 0.6667 0.6153 [1 per cell]
Rh1 0.6667 0.3333 0.3613 [1 per cell]

***

Run x
Material: KTcRh
Method: DFT, GGA-PBE
State: relaxed

**Volume**: 23.55 Å³/atom

Lattice parameters (Å, degrees): 6.562 6.562 6.562 90.00 90.00 90.00
Space group F-43m (No. 216)
Symmetry-distinct sites (fractional):
K1 0.000 0.000 0.000 [4 per cell]
Tc1 0.250 0.250 0.750 [4 per cell]
Rh1 0.250 0.250 0.250 [4 per cell]

***

Of them, run w has the highest stability.

***

Run w
Material: KTcRh3
Method: DFT, GGA-PBE
State: relaxed

**Volume**: 18.85 Å³/atom

Lattice parameters (Å, degrees): 4.551 4.551 4.551 90.00 90.00 90.00
Space group Pm-3m (No. 221)
Symmetry-distinct sites (fractional):
K1 0.000 0.000 0.000 [1 per cell]
Tc1 0.500 0.500 0.500 [1 per cell]
Rh1 0.000 0.000 0.500 [3 per cell]

***

Run x
Material: KTcRh3
Method: DFT, GGA-PBE
State: relaxed

**Volume**: 21.73 Å³/atom

Lattice parameters (Å, degrees): 4.772 4.772 4.772 90.00 90.00 90.00
Space group Pm-3m (No. 221)
Symmetry-distinct sites (fractional):
K1 0.000 0.000 0.000 [1 per cell]
Tc1 0.500 0.500 0.500 [1 per cell]
Rh1 0.000 0.500 0.500 [3 per cell]

***

Of them, run x has the highest stability.

***

Run w
Material: KTeRh3
Method: DFT, GGA-PBE
State: relaxed

**Volume**: 24.21 Å³/atom

Lattice parameters (Å, degrees): 4.947 4.947 4.947 90.00 90.00 90.00
Space group Pm-3m (No. 221)
Symmetry-distinct sites (fractional):
K1 0.000 0.000 0.000 [1 per cell]
Te1 0.500 0.500 0.500 [1 per cell]
Rh1 0.000 0.500 0.500 [3 per cell]

***

Run x
Material: KTeRh3
Method: DFT, GGA-PBE
State: relaxed

**Volume**: 22.08 Å³/atom

Lattice parameters (Å, degrees): 4.797 4.797 4.797 90.00 90.00 90.00
Space group Pm-3m (No. 221)
Symmetry-distinct sites (fractional):
K1 0.000 0.000 0.000 [1 per cell]
Te1 0.500 0.500 0.500 [1 per cell]
Rh1 0.000 0.000 0.500 [3 per cell]

***

Of them, run w has the highest stability.

***

Run w
Material: KTe3Rh
Method: DFT, GGA-PBE
State: relaxed

**Volume**: 40.72 Å³/atom

Lattice parameters (Å, degrees): 5.883 5.883 5.883 90.00 90.00 90.00
Space group Pm-3m (No. 221)
Symmetry-distinct sites (fractional):
K1 0.000 0.000 0.000 [1 per cell]
Te1 0.000 0.000 0.500 [3 per cell]
Rh1 0.500 0.500 0.500 [1 per cell]

***

Run x
Material: KTe3Rh
Method: DFT, GGA-PBE
State: relaxed

**Volume**: 31.00 Å³/atom

Lattice parameters (Å, degrees): 5.372 5.372 5.372 90.00 90.00 90.00
Space group Pm-3m (No. 221)
Symmetry-distinct sites (fractional):
K1 0.000 0.000 0.000 [1 per cell]
Te1 0.000 0.500 0.500 [3 per cell]
Rh1 0.500 0.500 0.500 [1 per cell]

***

Of them, run x has the highest stability.